1.
The following is a DFT calculation (PBE) of BiAs2RhBr after structural relaxation.

Computed properties:
DFT total energy: -4.155 eV/atom
crystal system: tetragonal
relative energy among the computed polymorphs: 0.0 meV per atom

a = 4.8628 Å, b = 4.8628 Å, c = 5.1141 Å
α = 90.00°, β = 90.00°, γ = 90.00°
Closest atoms and distances in Å follow each position.
Space group P4/mmm (No. 123)
Asymmetric unit:
Bi: 0.0000 0.0000 0.0000  4 Br 3.44, 8 As 3.53
As: 0.0000 0.5000 0.5000  2 Rh 2.43
Rh: 0.5000 0.5000 0.5000  4 As 2.43, 2 Br 2.56
Br: 0.5000 0.5000 0.0000  2 Rh 2.56



2.
The following is a DFT calculation (PBE) of CaTl2I4 after structural relaxation.

Computed properties:
DFT total energy: -2.895 eV/atom
crystal system: monoclinic
relative energy among the computed polymorphs: 7.3 meV per atom

a = 16.6203 Å, b = 4.6708 Å, c = 9.2915 Å
α = 90.00°, β = 118.33°, γ = 90.00°
Closest atoms and distances in Å follow each position.
Space group C2/m (No. 12)
Asymmetric unit:
Ca: 0.0000 0.0000 0.0000  6 I 3.13-3.19
Tl: 0.2069 0.5000 0.6827  6 I 3.41-3.73
I: 0.1041 0.0000 0.3828  1 Ca 3.13, 3 Tl 3.41-3.47
I: 0.1310 0.5000 0.0017  2 Ca 3.19



3.
The following is a DFT calculation (PBE) of Zn2PRh after structural relaxation.

Computed properties:
DFT total energy: -3.993 eV/atom
crystal system: orthorhombic
energy of formation: -0.17 eV/atom

a = 3.2917 Å, b = 4.0929 Å, c = 8.8419 Å
α = 90.00°, β = 90.00°, γ = 90.00°
Closest atoms and distances in Å follow each position.
Space group Imm2 (No. 44)
Asymmetric unit:
Zn: 0.0000 0.0000 0.0000  4 P 2.66, 4 Zn 2.82-2.98, 4 Rh 2.86-2.92
Zn: 0.0000 0.5000 0.2189  4 Rh 2.66, 2 Zn 2.82, 4 P 2.89-2.90
P: 0.0000 0.0000 0.4509  2 Rh 2.32
Rh: 0.0000 0.5000 0.7652  2 P 2.32



4.
The following is a DFT calculation (PBE) of Hf3WCl after structural relaxation.

Computed properties:
DFT total energy: -8.461 eV/atom
crystal system: cubic
relative energy among the computed polymorphs: 0.0 meV per atom

a = 4.6603 Å, b = 4.6603 Å, c = 4.6603 Å
α = 90.00°, β = 90.00°, γ = 90.00°
Closest atoms and distances in Å follow each position.
Space group Pm-3m (No. 221)
Asymmetric unit:
Hf: 0.0000 0.0000 0.5000  2 Cl 2.33
W: 0.5000 0.5000 0.5000  12 Hf 3.30
Cl: 0.0000 0.0000 0.0000  6 Hf 2.33



5.
The following is a DFT calculation (PBE) of Ru3AuN after structural relaxation.

Computed properties:
DFT total energy: -7.529 eV/atom
crystal system: cubic
relative energy among the computed polymorphs: 0.0 meV per atom

a = 4.0743 Å, b = 4.0743 Å, c = 4.0743 Å
α = 90.00°, β = 90.00°, γ = 90.00°
Closest atoms and distances in Å follow each position.
Space group Pm-3m (No. 221)
Asymmetric unit:
Ru: 0.0000 0.0000 0.5000  2 N 2.04
Au: 0.5000 0.5000 0.5000  12 Ru 2.88
N: 0.0000 0.0000 0.0000  6 Ru 2.04



6.
The following is a DFT calculation (PBE) of CeCo2Mo after structural relaxation.

Computed properties:
DFT total energy: -7.697 eV/atom
crystal system: trigonal
energy of formation: 0.05 eV/atom

a = 4.0867 Å, b = 4.0867 Å, c = 14.5391 Å
α = 90.00°, β = 90.00°, γ = 120.00°
Closest atoms and distances in Å follow each position.
Space group R-3m (No. 166, hexagonal axes)
Asymmetric unit:
Ce: 0.0000 0.0000 0.0000  8 Co 2.99-3.01
Co: 0.0000 0.0000 0.2070  3 Mo 2.43, 3 Co 2.63
Mo: 0.0000 0.0000 0.5000  6 Co 2.43



7.
The following is a DFT calculation (PBE) of P2OsRu after structural relaxation.

Computed properties:
DFT total energy: -7.501 eV/atom
crystal system: orthorhombic
relative energy among the computed polymorphs: 677.4 meV per atom
energy of formation: 0.33 eV/atom

a = 2.8737 Å, b = 5.1243 Å, c = 7.6668 Å
α = 90.00°, β = 90.00°, γ = 90.00°
Closest atoms and distances in Å follow each position.
Space group Immm (No. 71)
Asymmetric unit:
P: 0.0000 0.0000 0.2501  2 Os 2.40, 2 Ru 2.40
Os: 0.0000 0.5000 0.0000  4 P 2.40
Ru: 0.0000 0.5000 0.5000  4 P 2.40



8.
The following is a DFT calculation (PBE) of AlRuRh2 after structural relaxation.

Computed properties:
DFT total energy: -7.221 eV/atom
crystal system: tetragonal
energy of formation: -0.29 eV/atom

a = 3.8558 Å, b = 3.8558 Å, c = 3.7895 Å
α = 90.00°, β = 90.00°, γ = 90.00°
Closest atoms and distances in Å follow each position.
Space group P4/mmm (No. 123)
Asymmetric unit:
Al: 0.0000 0.0000 0.0000  8 Rh 2.70, 4 Ru 2.73
Ru: 0.5000 0.5000 0.0000  8 Rh 2.70, 4 Al 2.73
Rh: 0.0000 0.5000 0.5000  4 Al 2.70, 4 Ru 2.70, 4 Rh 2.73



9.
The following is a DFT calculation (PBE) of HgRhO2 after structural relaxation.

Computed properties:
DFT total energy: -4.465 eV/atom
crystal system: tetragonal

a = 4.6164 Å, b = 4.6164 Å, c = 10.0694 Å
α = 90.00°, β = 90.00°, γ = 90.00°
Closest atoms and distances in Å follow each position.
Space group I4_1/amd (No. 141, origin choice 2)
Asymmetric unit:
Hg: 0.0000 0.2500 0.3750  4 O 2.35
Rh: 0.0000 0.2500 0.8750  2 O 2.07
O: 0.0000 0.2500 0.0806  1 Rh 2.07



10.
The following is a DFT calculation (PBE) of Mg3ScPt after structural relaxation.

Computed properties:
DFT total energy: -3.562 eV/atom
crystal system: cubic
relative energy among the computed polymorphs: 0.0 meV per atom
energy of formation: -0.13 eV/atom

a = 4.9565 Å, b = 4.9565 Å, c = 4.9565 Å
α = 90.00°, β = 90.00°, γ = 90.00°
Closest atoms and distances in Å follow each position.
Space group Pm-3m (No. 221)
Asymmetric unit:
Mg: 0.0000 0.0000 0.5000  2 Pt 2.48
Sc: 0.5000 0.5000 0.5000  12 Mg 3.50
Pt: 0.0000 0.0000 0.0000  6 Mg 2.48



11.
The following is a DFT calculation (PBE) of Ho8Ga3Te3P after structural relaxation.

Computed properties:
DFT total energy: -4.924 eV/atom
crystal system: triclinic

a = 8.2443 Å, b = 8.2582 Å, c = 8.6134 Å
α = 61.49°, β = 61.45°, γ = 60.12°
Closest atoms and distances in Å follow each position.
Space group P-1 (No. 2)
Asymmetric unit:
Ho: 0.2352 0.2479 0.2817  1 P 2.80, 2 Ga 2.88, 2 Te 3.10
Ho: 0.2355 0.7354 0.2818  1 P 2.81, 2 Ga 2.88, 2 Te 3.11
Ho: 0.2524 0.2647 0.7183  1 P 2.80, 2 Ga 2.88, 2 Te 3.10-3.11
Ho: 0.2562 0.7560 0.7317  3 Ga 2.91, 3 Te 3.06-3.07
Ga: 0.0000 0.0000 0.5000  6 Ho 2.88-2.91
Ga: 0.5000 0.0000 0.5000  6 Ho 2.88-2.91
Ga: 0.5000 0.5000 0.5000  6 Ho 2.88-2.91
Te: 0.0000 0.0000 0.0000  6 Ho 3.07-3.11
Te: 0.0000 0.5000 0.0000  6 Ho 3.06-3.10
Te: 0.5000 0.5000 0.0000  6 Ho 3.06-3.11
P: 0.0000 0.5000 0.5000  6 Ho 2.80-2.81



12.
The following is a DFT calculation (PBE) of AlCuAsBr2 after structural relaxation.

Computed properties:
DFT total energy: -2.868 eV/atom
crystal system: tetragonal
relative energy among the computed polymorphs: 0.0 meV per atom

a = 5.2335 Å, b = 5.2335 Å, c = 4.7197 Å
α = 90.00°, β = 90.00°, γ = 90.00°
Closest atoms and distances in Å follow each position.
Space group P4/mmm (No. 123)
Asymmetric unit:
Al: 0.0000 0.0000 0.0000  8 Br 3.52, 4 As 3.70
Cu: 0.5000 0.5000 0.5000  2 As 2.36, 4 Br 2.62
As: 0.5000 0.5000 0.0000  2 Cu 2.36
Br: 0.0000 0.5000 0.5000  2 Cu 2.62



13.
The following is a DFT calculation (PBE) of PmPr2SmEr5 after structural relaxation.

Computed properties:
DFT total energy: -4.394 eV/atom
crystal system: tetragonal
energy of formation: 0.26 eV/atom

a = 8.6861 Å, b = 8.6861 Å, c = 15.6120 Å
α = 90.00°, β = 90.00°, γ = 90.00°
Closest atoms and distances in Å follow each position.
Space group I4/mcm (No. 140)
Asymmetric unit:
Pm: 0.0000 0.0000 0.2500  10 Er 3.56-3.90
Pr: 0.1179 0.3821 0.0000  1 Pr 2.90, 2 Er 3.02
Sm: 0.0000 0.5000 0.2500  4 Er 3.12
Er: 0.0000 0.0000 0.0000  4 Pr 3.47, 8 Er 3.79
Er: 0.2107 0.2893 0.3610  1 Pr 3.02, 1 Sm 3.12